1.
Er4Cu3Rh after structural relaxation, computed with PBE.

Properties
Its symmetry is Pmm2 (25). The formation energy is -0.46 eV per atom. For the total magnetization, the calculation gives 0.00 μB per formula unit. The value obtained for the density of states at the Fermi level is 0.68 states/eV/atom.

Unit cell a=3.6922 b=4.3933 c=10.3342 alpha=90.00 beta=90.00 gamma=90.00
Last column: nearest neighbours and their distance in Å.
Sites, in units of the cell vectors:
Er (0.0000, 0.5000, 0.8643)  2 Rh 2.91, 5 Cu 2.93-3.02
Er (0.0000, 0.0000, 0.1379)  3 Cu 2.90-3.00, 4 Rh 2.93
Er (0.5000, 0.0000, 0.6404)  7 Cu 2.87-2.95
Er (0.5000, 0.5000, 0.3545)  1 Rh 2.82, 6 Cu 2.91-2.97
Cu (0.0000, 0.0000, 0.4281)  2 Cu 2.65, 6 Er 2.87-2.97
Cu (0.0000, 0.5000, 0.5722)  2 Cu 2.65, 6 Er 2.91-2.95
Cu (0.5000, 0.0000, 0.9213)  2 Rh 2.75, 7 Er 2.90-2.93
Rh (0.5000, 0.5000, 0.0814)  2 Cu 2.75, 7 Er 2.82-2.93


2.
SbRu2 after structural relaxation, computed with PBE.

Properties
Its symmetry is Immm (71). For the total magnetization, the calculation gives 0.00 μB per formula unit. The value obtained for the raw formation energy is 0.300 eV per atom. The value obtained for the density of states at the Fermi level is 1.34 states/eV/atom.

Unit cell a=4.7810 b=4.7810 c=4.7810 alpha=143.61 beta=130.54 gamma=62.94
Last column: nearest neighbours and their distance in Å.
Sites, in units of the cell vectors:
Ru (0.3266, 0.3266, 0.0000)  5 Sb 2.66-2.87, 5 Ru 2.79-2.83
Ru (0.6734, 0.6734, 0.0000)  5 Sb 2.66-2.87, 5 Ru 2.79-2.83
Sb (0.0000, 0.0000, 0.0000)  10 Ru 2.66-2.87


3.
Mn3BeOs after structural relaxation, computed with PBE.

Properties
Its symmetry is Pm-3m (221). The value obtained for the relative energy among the computed polymorphs is 88.4 kJ per mole of atoms. The formation energy is 1.57 eV per atom. For the total magnetization, the calculation gives 9.39 μB per formula unit. The value obtained for the density of states at the Fermi level is 1.77 states/eV/atom.

Unit cell a=4.6102 b=4.6102 c=4.6102 alpha=90.00 beta=90.00 gamma=90.00
Last column: nearest neighbours and their distance in Å.
Sites, in units of the cell vectors:
Mn (0.5000, 0.0000, 0.0000)  2 Os 2.31
Mn (0.0000, 0.0000, 0.5000)  2 Os 2.31
Mn (0.0000, 0.5000, 0.0000)  2 Os 2.31
Os (0.0000, 0.0000, 0.0000)  6 Mn 2.31
Be (0.5000, 0.5000, 0.5000)  12 Mn 3.26


4.
LiSiRu after structural relaxation, computed with PBE.

Properties
Its symmetry is I4mm (107). For the total magnetization, the calculation gives 0.00 μB per formula unit. The value obtained for the raw formation energy is -0.359 eV per atom. The value obtained for the density of states at the Fermi level is 0.38 states/eV/atom.

Unit cell a=3.0949 b=3.0949 c=4.4455 alpha=110.37 beta=110.37 gamma=90.00
Last column: nearest neighbours and their distance in Å.
Sites, in units of the cell vectors:
Li (0.2851, 0.2851, 0.5701)  5 Si 2.50-2.58, 5 Ru 2.54-2.56
Ru (0.9573, 0.9573, 0.9147)  5 Si 2.48-2.71, 5 Li 2.54-2.56
Si (0.6076, 0.6076, 0.2152)  5 Ru 2.48-2.71, 5 Li 2.50-2.58


5.
KTlSb after structural relaxation, computed with PBE.

Properties
Its symmetry is P3m1 (156). The value obtained for the relative energy among the computed polymorphs is 16.2 kJ per mole of atoms. For the total magnetization, the calculation gives 0.00 μB per formula unit. The value obtained for the raw formation energy is -0.107 eV per atom. The value obtained for the density of states at the Fermi level is 0.36 states/eV/atom.

Unit cell a=4.1074 b=4.1074 c=7.4942 alpha=90.00 beta=90.00 gamma=120.00
Last column: nearest neighbours and their distance in Å.
Sites, in units of the cell vectors:
Sb (0.6667, 0.3333, 0.3618)  3 Tl 3.10
Tl (0.3333, 0.6667, 0.6289)  3 Sb 3.10
K (0.0000, 0.0000, 0.0093)  3 Sb 3.55, 3 Tl 3.71


6.
NaCa2Ho after structural relaxation, computed with PBE.

Properties
Its symmetry is R-3m (166). The value obtained for the relative energy among the computed polymorphs is 16.4 kJ per mole of atoms. The formation energy is 0.27 eV per atom. For the total magnetization, the calculation gives 0.60 μB per formula unit. The value obtained for the density of states at the Fermi level is 1.06 states/eV/atom.

Unit cell a=3.6135 b=3.6135 c=13.4820 alpha=82.30 beta=82.30 gamma=60.00
Last column: nearest neighbours and their distance in Å.
Sites, in units of the cell vectors:
Ca (0.9143, 0.9143, 0.2571)  1 Ho 3.42, 6 Ca 3.61
Ca (0.0857, 0.0857, 0.7429)  1 Ho 3.42, 6 Ca 3.61
Na (0.5000, 0.5000, 0.5000)  6 Na 3.61, 6 Ca 3.85
Ho (0.0000, 0.0000, 0.0000)  2 Ca 3.42, 6 Ho 3.61


7.
Li2CaLa2Ge2 after structural relaxation, computed with PBE.

Properties
Its symmetry is R-3m (166). The formation energy is -0.49 eV per atom. For the total magnetization, the calculation gives 0.00 μB per formula unit. The value obtained for the density of states at the Fermi level is 0.47 states/eV/atom.

Unit cell a=4.6144 b=4.6144 c=9.5957 alpha=76.09 beta=76.09 gamma=60.00
Last column: nearest neighbours and their distance in Å.
Sites, in units of the cell vectors:
La (0.8684, 0.8684, 0.3949)  3 Ge 3.12, 3 Li 3.23, 3 La 3.29
La (0.1316, 0.1316, 0.6051)  3 Ge 3.12, 3 Li 3.23, 3 La 3.29
Ge (0.7394, 0.7394, 0.7817)  3 Li 2.67
Ge (0.2606, 0.2606, 0.2183)  3 Li 2.67
Li (0.3992, 0.3992, 0.8023)  3 Ge 2.67
Li (0.6008, 0.6008, 0.1977)  3 Ge 2.67
Ca (0.0000, 0.0000, 0.0000)  6 Li 3.23, 6 Ge 3.34


8.
La4Pr15Y after structural relaxation, computed with PBE.

Properties
Its symmetry is P4/mmm (123). The formation energy is 0.01 eV per atom. For the total magnetization, the calculation gives 0.00 μB per formula unit. The value obtained for the density of states at the Fermi level is 1.64 states/eV/atom.

Unit cell a=5.2610 b=5.2610 c=26.2267 alpha=90.00 beta=90.00 gamma=90.00
Last column: nearest neighbours and their distance in Å.
Sites, in units of the cell vectors:
La (0.0000, 0.0000, 0.8007)  12 Pr 3.72-3.73
La (0.0000, 0.0000, 0.6004)  12 Pr 3.72
La (0.0000, 0.0000, 0.3996)  12 Pr 3.72
La (0.0000, 0.0000, 0.1993)  12 Pr 3.72-3.73
Pr (0.0000, 0.5000, 0.0985)  2 Y 3.69, 8 Pr 3.69-3.72, 2 La 3.73
Pr (0.5000, 0.0000, 0.2995)  4 La 3.72, 8 Pr 3.72-3.73
Pr (0.5000, 0.0000, 0.5000)  8 Pr 3.72, 4 La 3.72
Pr (0.0000, 0.5000, 0.7005)  4 La 3.72, 8 Pr 3.72-3.73
Pr (0.5000, 0.5000, 0.6002)  8 Pr 3.72, 4 La 3.72
Pr (0.5000, 0.5000, 0.3998)  8 Pr 3.72, 4 La 3.72
Pr (0.5000, 0.0000, 0.7005)  4 La 3.72, 8 Pr 3.72-3.73
Pr (0.5000, 0.0000, 0.9015)  8 Pr 3.69-3.72, 2 Y 3.69, 2 La 3.73
Pr (0.0000, 0.5000, 0.9015)  2 Y 3.69, 8 Pr 3.69-3.72, 2 La 3.73
Pr (0.5000, 0.5000, 0.1985)  8 Pr 3.72-3.73, 4 La 3.72
Pr (0.5000, 0.5000, 0.0000)  8 Pr 3.69, 4 Y 3.72
Pr (0.0000, 0.5000, 0.2995)  4 La 3.72, 8 Pr 3.72-3.73
Pr (0.5000, 0.0000, 0.0985)  8 Pr 3.69-3.72, 2 Y 3.69, 2 La 3.73
Pr (0.5000, 0.5000, 0.8015)  8 Pr 3.72-3.73, 4 La 3.72
Pr (0.0000, 0.5000, 0.5000)  8 Pr 3.72, 4 La 3.72
Y (0.0000, 0.0000, 0.0000)  12 Pr 3.69-3.72


9.
LuUMo4 after structural relaxation, computed with PBE.

Properties
Its symmetry is F-43m (216). The formation energy is 0.23 eV per atom. For the total magnetization, the calculation gives 1.57 μB per formula unit. The value obtained for the density of states at the Fermi level is 1.82 states/eV/atom.

Unit cell a=5.4609 b=5.4609 c=5.4609 alpha=60.00 beta=60.00 gamma=60.00
Last column: nearest neighbours and their distance in Å.
Sites, in units of the cell vectors:
Mo (0.6249, 0.6249, 0.6249)  6 Mo 2.73
Mo (0.1254, 0.6249, 0.6249)  6 Mo 2.73
Mo (0.6249, 0.1254, 0.6249)  6 Mo 2.73
Mo (0.6249, 0.6249, 0.1254)  6 Mo 2.73
Lu (0.0000, 0.0000, 0.0000)  12 Mo 3.20, 4 U 3.34
U (0.2500, 0.2500, 0.2500)  12 Mo 3.20, 4 Lu 3.34


10.
PmMg2Cu after structural relaxation, computed with PBE.

Properties
Its symmetry is F-43m (216). The value obtained for the relative energy among the computed polymorphs is 7.3 kJ per mole of atoms. The formation energy is -0.10 eV per atom. For the total magnetization, the calculation gives 0.00 μB per formula unit. The value obtained for the density of states at the Fermi level is 0.82 states/eV/atom.

Unit cell a=4.9716 b=4.9716 c=4.9715 alpha=60.00 beta=60.00 gamma=60.00
Last column: nearest neighbours and their distance in Å.
Sites, in units of the cell vectors:
Cu (0.7500, 0.7500, 0.7500)  4 Pm 3.04, 4 Mg 3.04
Pm (0.5000, 0.5000, 0.5000)  4 Mg 3.04, 4 Cu 3.04
Mg (0.2500, 0.2500, 0.2501)  4 Mg 3.04, 4 Pm 3.04
Mg (0.0000, 0.0000, 0.0000)  4 Mg 3.04, 4 Cu 3.04


11.
MnZnRe4 after structural relaxation, computed with PBE.

Properties
Its symmetry is F-43m (216). The formation energy is 0.51 eV per atom. For the total magnetization, the calculation gives 3.33 μB per formula unit. The value obtained for the density of states at the Fermi level is 0.65 states/eV/atom.

Unit cell a=5.1689 b=5.1689 c=5.1689 alpha=60.00 beta=60.00 gamma=60.00
Last column: nearest neighbours and their distance in Å.
Sites, in units of the cell vectors:
Re (0.3749, 0.3749, 0.8754)  6 Re 2.58-2.59
Re (0.3749, 0.3749, 0.3749)  6 Re 2.58-2.59
Re (0.8754, 0.3749, 0.3749)  6 Re 2.58-2.59
Re (0.3749, 0.8754, 0.3749)  6 Re 2.58-2.59
Mn (0.0000, 0.0000, 0.0000)  12 Re 3.03, 4 Zn 3.17
Zn (0.7500, 0.7500, 0.7500)  12 Re 3.03, 4 Mn 3.17


12.
Zn2CuP after structural relaxation, computed with PBE.

Properties
Its symmetry is P4/mmm (123). The formation energy is 0.16 eV per atom. For the total magnetization, the calculation gives 0.00 μB per formula unit. The value obtained for the density of states at the Fermi level is 0.24 states/eV/atom.

Unit cell a=2.7285 b=2.7285 c=7.6988 alpha=90.00 beta=90.00 gamma=90.00
Last column: nearest neighbours and their distance in Å.
Sites, in units of the cell vectors:
Cu (0.5000, 0.5000, 0.2500)  8 Zn 2.62, 4 Cu 2.73
Zn (0.0000, 0.0000, 0.4807)  4 Cu 2.62, 4 Zn 2.73, 4 P 2.83
Zn (0.0000, 0.0000, 0.0193)  4 Cu 2.62, 4 Zn 2.73, 4 P 2.83
P (0.5000, 0.5000, 0.7500)  4 P 2.73, 8 Zn 2.83


13.
LiHoBi2Se4 after structural relaxation, computed with PBE.

Properties
Its symmetry is P2/m (10). For the total magnetization, the calculation gives 0.00 μB per formula unit. The value obtained for the raw formation energy is -0.819 eV per atom. The value obtained for the density of states at the Fermi level is 0.02 states/eV/atom.

Unit cell a=4.0472 b=9.0479 c=7.6548 alpha=125.25 beta=90.00 gamma=90.00
Last column: nearest neighbours and their distance in Å.
Sites, in units of the cell vectors:
Li (0.0000, 0.0000, 0.0000)  4 Se 2.89
Bi (0.0000, 0.5000, 0.5000)  6 Se 2.94-2.98
Bi (0.5000, 0.0000, 0.5000)  4 Se 2.95
Se (0.0000, 0.7107, 0.3184)  2 Ho 2.88, 3 Bi 2.94-2.95
Se (0.5000, 0.2766, 0.1589)  2 Li 2.89, 1 Ho 2.90, 2 Bi 2.98
Se (0.0000, 0.2893, 0.6816)  2 Ho 2.88, 3 Bi 2.94-2.95
Se (0.5000, 0.7234, 0.8411)  2 Li 2.89, 1 Ho 2.90, 2 Bi 2.98
Ho (0.5000, 0.5000, 0.0000)  6 Se 2.88-2.90